The following is a DFT calculation (SCAN) of Sr2YCr at its PBEsol-relaxed geometry.

a = 8.022 Å, b = 8.022 Å, c = 8.022 Å
α = 90.00°, β = 90.00°, γ = 90.00°
Space group F-43m (No. 216)
Asymmetric unit:
Sr 0.000 0.000 0.000 x4
Sr 0.250 0.250 0.250 x4
Y 0.000 0.000 0.500 x4
Cr 0.250 0.250 0.750 x4

Values from the calculation:
DFT formation energy = 0.41 eV/atom
Density of states at the Fermi level = 14.3 states/eV/cell